Record 1
# MgRh | Alexandria | PBE-GGA | optimized geometry
# calculated volume: 17.15 A^3/atom
# E: -35.00 eV for the cell shown
# spin magnetization: 0.000 μB/atom
# E_form: 99 meV per atom
data_MgRh
_space_group_name_H-M_alt 'F m -3 m'
_space_group_IT_number 225
_space_group_name_Hall '-F 4 2 3'
_cell_length_a 5.1572
_cell_length_b 5.1572
_cell_length_c 5.1572
_cell_angle_alpha 90.00
_cell_angle_beta 90.00
_cell_angle_gamma 90.00
loop_
_atom_site_label
_atom_site_type_symbol
_atom_site_fract_x
_atom_site_fract_y
_atom_site_fract_z
Mg1 Mg 0.0000 0.0000 0.0000
Rh1 Rh 0.0000 0.0000 0.5000



Record 2
# BaCrSi2Au | Alexandria | PBE-GGA | optimized geometry
# calculated volume: 35.38 A^3/atom
# E: -15.40 eV for the cell shown
# spin magnetization: 0.830 μB/atom
# ΔE_f (raw): 2.053 eV per atom
data_BaCrSi2Au
_space_group_name_H-M_alt 'P 4/m m m'
_space_group_IT_number 123
_space_group_name_Hall '-P 4 2'
_cell_length_a 5.6149
_cell_length_b 5.6149
_cell_length_c 5.6114
_cell_angle_alpha 90.00
_cell_angle_beta 90.00
_cell_angle_gamma 90.00
loop_
_atom_site_label
_atom_site_type_symbol
_atom_site_fract_x
_atom_site_fract_y
_atom_site_fract_z
Ba1 Ba 0.0000 0.0000 0.0000
Cr1 Cr 0.0000 0.0000 0.5000
Si1 Si 0.0000 0.5000 0.0000
Au1 Au 0.5000 0.5000 0.5000



Record 3
# Al3Pt | Alexandria | PBE-GGA | optimized geometry
# calculated volume: 16.37 A^3/atom
# E: -158.45 eV for the cell shown
# spin magnetization: 0.000 μB/atom
# E_form: -634 meV per atom
data_Al3Pt
_space_group_name_H-M_alt 'P 42/n'
_space_group_IT_number 86
_cell_length_a 10.3932
_cell_length_b 10.3932
_cell_length_c 4.8485
_cell_angle_alpha 90.00
_cell_angle_beta 90.00
_cell_angle_gamma 90.00
loop_
_space_group_symop_operation_xyz
'x,y,z'
'-x,-y,-z'
'-y,x+1/2,z+1/2'
'y,-x+1/2,-z+1/2'
'-x+1/2,-y+1/2,z'
'x+1/2,y+1/2,-z'
'y+1/2,-x,z+1/2'
'-y+1/2,x,-z+1/2'
loop_
_atom_site_label
_atom_site_type_symbol
_atom_site_fract_x
_atom_site_fract_y
_atom_site_fract_z
Al1 Al 0.0173 0.5660 0.2466
Al2 Al 0.1166 0.2248 0.4731
Al3 Al 0.1465 0.6707 0.7741
Pt1 Pt 0.0339 0.2088 0.9775



Record 4
# TaHSe2 | Alexandria | PBE-GGA | optimized geometry
# energy relative to the lowest polymorph listed for this composition: 23.520 kcal/mol of atoms
# calculated volume: 15.85 A^3/atom
# E: -84.47 eV for the cell shown
# spin magnetization: 0.094 μB/atom
data_TaHSe2
_space_group_name_H-M_alt 'F m -3 m'
_space_group_IT_number 225
_space_group_name_Hall '-F 4 2 3'
_cell_length_a 6.3298
_cell_length_b 6.3298
_cell_length_c 6.3298
_cell_angle_alpha 90.00
_cell_angle_beta 90.00
_cell_angle_gamma 90.00
loop_
_atom_site_label
_atom_site_type_symbol
_atom_site_fract_x
_atom_site_fract_y
_atom_site_fract_z
Ta1 Ta 0.0000 0.0000 0.0000
H1 H 0.0000 0.0000 0.5000
Se1 Se 0.2500 0.2500 0.2500